H2Pd4Au, optimized geometry, DFT PBE; final energy = -4.462 eV/atom; space-group type = No. 1; excess energy over the best structure of this formula in the dataset = 0.08 kcal/mol of atoms; crystal system = triclinic
1.0
5.007 0.000 0.000
-0.910 4.960 0.000
-1.541 -2.790 6.971
H Pd Au
4 8 2
Cartesian
0.000 0.000 0.000
-1.724 0.540 5.787
0.715 2.678 0.767
1.264 0.764 5.082
-1.795 2.292 5.298
0.739 0.952 1.282
-0.038 -0.027 6.052
0.683 1.883 3.918
1.547 3.705 1.939
2.420 -0.477 4.601
3.216 1.412 2.592
3.963 3.197 0.537
-0.098 -0.862 3.262
1.575 -2.237 6.777

HPd2Au, optimized geometry, DFT PBE; final energy = -4.322 eV/atom; space-group type = No. 166; excess energy over the best structure of this formula in the dataset = 0.28 kcal/mol of atoms; crystal system = trigonal
1.0
1.446 0.835 7.044
-1.446 0.835 7.044
0.000 -1.669 7.044
H Pd Au
1 2 1
Cartesian
0.000 0.000 0.000
0.000 0.000 5.865
0.000 0.000 15.268
0.000 0.000 10.567

H4Pd4Au3, optimized geometry, DFT PBE; final energy = -3.988 eV/atom; space-group type = No. 71; crystal system = orthorhombic
1.0
-1.478 2.213 9.963
1.478 -2.213 9.963
1.478 2.213 -9.963
H Pd Au
4 4 3
Cartesian
0.000 0.000 2.289
1.478 0.000 5.105
0.000 2.213 4.858
0.000 0.000 17.636
1.478 0.000 1.335
0.000 0.000 4.158
0.000 0.000 15.768
0.000 2.213 8.628
0.000 0.000 7.055
0.000 2.213 0.000
0.000 0.000 12.871

HPd3Au, optimized geometry, DFT PBE; final energy = -4.507 eV/atom; space-group type = No. 14; excess energy over the best structure of this formula in the dataset = 0.51 kcal/mol of atoms; crystal system = monoclinic
1.0
7.574 0.000 0.000
0.000 4.767 0.000
-6.492 0.000 7.516
H Pd Au
4 12 4
Cartesian
0.888 0.594 0.180
-2.359 1.790 3.938
3.441 2.977 3.578
0.195 4.174 7.336
0.824 3.530 0.142
-2.422 3.621 3.900
-1.296 1.170 2.629
-4.542 1.214 6.387
-1.861 1.169 5.541
1.385 1.214 1.783
-0.303 3.553 5.733
2.943 3.598 1.975
5.624 3.553 1.130
2.378 3.597 4.888
3.504 1.147 3.616
0.258 1.237 7.375
0.258 3.576 2.945
-2.989 3.575 6.703
4.071 1.192 0.813
0.824 1.191 4.572

HPd2Au, optimized geometry, DFT PBE; final energy = -4.334 eV/atom; space-group type = No. 1; excess energy over the best structure of this formula in the dataset = 0.00 kcal/mol of atoms; crystal system = triclinic
1.0
2.888 0.000 0.000
1.435 2.512 0.000
0.034 0.024 7.034
H Pd Au
1 2 1
Cartesian
0.000 0.000 0.000
1.552 0.699 5.854
2.982 1.528 1.170
1.540 2.370 3.512

HPd4Au, optimized geometry, DFT PBE; final energy = -4.571 eV/atom; space-group type = No. 2; excess energy over the best structure of this formula in the dataset = 0.89 kcal/mol of atoms; crystal system = triclinic
1.0
4.856 0.000 0.000
-0.003 4.918 0.000
-0.693 -2.449 6.999
H Pd Au
2 8 2
Cartesian
0.000 0.000 0.000
2.426 2.459 0.000
0.995 1.949 0.743
0.924 -0.485 2.085
0.810 -0.479 4.912
0.737 1.957 6.257
3.423 0.511 0.742
3.349 2.948 2.087
3.236 2.954 4.913
3.165 0.519 6.256
0.867 2.015 3.500
3.293 0.454 3.498

H3Pd8Au, optimized geometry, DFT PBE; final energy = -4.641 eV/atom; space-group type = No. 1; crystal system = triclinic
1.0
4.969 0.000 0.000
-2.481 4.306 0.000
-0.005 -0.011 7.041
H Pd Au
3 8 1
Cartesian
0.000 0.000 0.000
-0.021 2.849 5.259
2.484 1.426 3.486
4.967 -0.003 1.795
-1.646 2.909 4.101
0.781 1.417 4.101
1.697 0.002 6.426
1.640 2.817 6.426
2.484 1.433 1.691
0.860 4.265 4.102
4.105 1.460 6.426
0.000 2.869 1.743

HPd8Au2, optimized geometry, DFT PBE; final energy = -4.641 eV/atom; space-group type = No. 8; crystal system = monoclinic
1.0
2.717 -6.445 0.000
2.717 6.445 0.000
-2.638 0.000 4.706
H Pd Au
1 8 2
Cartesian
0.000 0.000 0.000
0.188 1.305 1.456
0.926 3.758 2.613
-1.072 0.000 3.759
0.188 -1.305 1.456
1.646 1.304 3.741
2.945 0.000 1.429
0.926 -3.758 2.613
1.646 -1.304 3.741
2.248 2.609 0.261
2.248 -2.609 0.261

H2PdAu, optimized geometry, DFT PBE; final energy = -3.305 eV/atom; space-group type = No. 225; excess energy over the best structure of this formula in the dataset = 10.58 kcal/mol of atoms; crystal system = cubic
1.0
0.000 2.734 2.734
2.734 0.000 2.734
2.734 2.734 0.000
H Pd Au
2 1 1
Cartesian
1.367 1.367 1.367
4.100 4.100 4.100
0.000 0.000 0.000
2.734 2.734 2.734

HPd3Au, optimized geometry, DFT PBE; final energy = -4.522 eV/atom; space-group type = No. 38; excess energy over the best structure of this formula in the dataset = 0.16 kcal/mol of atoms; crystal system = orthorhombic
1.0
2.851 0.000 0.000
0.000 2.859 4.150
0.000 -2.859 4.150
H Pd Au
1 3 1
Cartesian
0.000 0.000 0.000
0.000 -1.395 3.117
0.000 1.395 3.117
1.425 0.000 1.132
1.425 0.000 5.217

H2PdAu, optimized geometry, DFT PBE; final energy = -3.697 eV/atom; space-group type = No. 160; excess energy over the best structure of this formula in the dataset = 1.54 kcal/mol of atoms; crystal system = trigonal
1.0
1.436 0.829 6.070
-1.436 0.829 6.070
0.000 -1.658 6.070
H Pd Au
2 1 1
Cartesian
0.000 0.000 0.000
0.000 0.000 4.462
0.000 0.000 11.337
0.000 0.000 8.235

H4Pd6Au, optimized geometry, DFT PBE; final energy = -4.343 eV/atom; space-group type = No. 11; excess energy over the best structure of this formula in the dataset = 0.00 kcal/mol of atoms; crystal system = monoclinic
1.0
4.078 0.000 0.000
0.000 11.273 0.000
-0.031 0.000 5.685
H Pd Au
8 12 2
Cartesian
0.315 1.207 1.525
0.315 4.429 1.525
1.462 0.453 5.053
1.462 5.183 5.053
2.585 6.089 0.632
2.585 10.820 0.632
3.732 6.844 4.160
3.732 10.065 4.160
-0.015 0.000 2.842
-0.015 5.636 2.842
-0.006 8.455 3.358
2.023 1.268 0.944
2.023 4.368 0.944
2.019 1.467 3.786
2.019 4.169 3.786
2.028 7.104 1.899
2.028 9.805 1.899
2.024 6.905 4.741
2.024 10.004 4.741
4.053 2.818 2.327
0.024 8.455 0.497
4.023 2.818 5.188

Which of these has the highest final energy? number 9

Look up the final energy of the eighth one. -4.641 eV/atom

The highest final energy belongs to which entry? number 9